Model 1:
La2DyTe (PBE-GGA, relaxed); SG = Pc, No. 7; crystal system = monoclinic
1.0
-0.650 -3.136 -2.349
3.077 -4.495 5.152
-7.429 -2.852 5.864
La Te Dy
4 2 2
Cartesian
-6.542 -6.060 5.723 La
-5.211 -9.309 7.549 La
-2.494 -7.074 3.816 La
-3.827 -3.826 1.990 La
-4.847 -3.321 5.072 Te
-3.539 -6.678 6.816 Te
-0.480 -3.573 3.011 Dy
1.058 -5.823 5.584 Dy

Model 2:
La2DyTe (PBE-GGA, relaxed); SG = R3m, No. 160; crystal system = trigonal
1.0
4.053 0.001 0.000
2.027 3.510 0.000
2.028 1.171 10.083
Te Dy La
1 1 2
Cartesian
6.081 3.511 10.077 Te
4.053 2.340 5.049 Dy
2.028 1.171 7.869 La
2.027 1.170 2.215 La

In terms of stability, model 2 leads; the second structure lies 71 meV per atom higher.

Model 1:
LaDy6Th (PBE-GGA, relaxed); SG = P4/mmm, No. 123; crystal system = tetragonal
1.0
5.051 0.000 0.000
0.000 5.051 0.000
0.000 0.000 10.107
La Dy Th
1 6 1
Cartesian
0.000 0.000 0.000 La
0.000 2.525 2.589 Dy
2.525 0.000 2.589 Dy
2.525 2.525 0.000 Dy
2.525 0.000 7.517 Dy
0.000 2.525 7.517 Dy
2.525 2.525 5.053 Dy
0.000 0.000 5.053 Th

Model 2:
LaDy6Th (PBE-GGA, relaxed); SG = P-1, No. 2; crystal system = triclinic
1.0
6.122 -0.201 2.354
-0.449 6.358 1.713
0.802 1.469 7.430
Dy Th La
6 1 1
Cartesian
3.427 5.330 6.521 Dy
5.956 2.094 6.483 Dy
2.946 1.508 1.611 Dy
3.530 6.117 9.887 Dy
3.049 2.295 4.977 Dy
0.520 5.531 5.014 Dy
-0.224 3.179 0.856 Th
0.000 0.000 0.000 La

In terms of stability, model 1 leads; the second structure lies 183 meV per atom higher.